# 1
An optimized crystal structure of TbHoEr3, computed with PBE.

a = 3.5796 Å, b = 16.3803 Å, c = 11.4409 Å
α = 90.00°, β = 90.00°, γ = 90.00°
Space group Cmcm (No. 63)
Symmetry-distinct sites (fractional):
Tb: 0.0000 0.0067 0.2500 [4 per cell]
Ho: 0.0000 0.3214 0.7500 [4 per cell]
Er: 0.0000 0.1535 0.9998 [8 per cell]
Er: 0.0000 0.3383 0.2500 [4 per cell]

Results
DFT formation energy: 1.6 eV per formula unit
offset from the most stable computed form: 0.316 eV per atom
theoretical density: 8.17 g cm⁻³


# 2
An optimized crystal structure of YPaN, computed with PBE.

a = 4.6723 Å, b = 4.6723 Å, c = 7.9374 Å
α = 90.00°, β = 90.00°, γ = 90.00°
Space group I4mm (No. 107)
Symmetry-distinct sites (fractional):
Y: 0.0000 0.0000 0.0000 [2 per cell]
Pa: 0.0000 0.0000 0.4855 [2 per cell]
N: 0.0000 0.0000 0.7296 [2 per cell]

Results
offset from the most stable computed form: 1.049 eV per atom
theoretical density: 6.40 g cm⁻³
uncorrected formation energy: 122 kJ/mol of formula units


# 3
An optimized crystal structure of KNbV3, computed with PBE.

a = 4.9685 Å, b = 4.9685 Å, c = 4.9685 Å
α = 90.00°, β = 90.00°, γ = 90.00°
Space group Pm-3m (No. 221)
Symmetry-distinct sites (fractional):
K: 0.0000 0.0000 0.0000 [1 per cell]
Nb: 0.5000 0.5000 0.5000 [1 per cell]
V: 0.0000 0.5000 0.5000 [3 per cell]

Results
DFT formation energy: 7.7 eV per formula unit
offset from the most stable computed form: 0.000 eV per atom
theoretical density: 3.86 g cm⁻³


# 4
An optimized crystal structure of Ba2Pb2F, computed with PBE.

a = 7.6038 Å, b = 7.6038 Å, c = 6.0764 Å
α = 90.00°, β = 90.00°, γ = 90.00°
Space group P4/mbm (No. 127)
Symmetry-distinct sites (fractional):
Ba: 0.1760 0.3240 0.0000 [4 per cell]
Pb: 0.1450 0.6450 0.5000 [4 per cell]
F: 0.0000 0.0000 0.0000 [2 per cell]

Results
offset from the most stable computed form: 0.000 eV per atom
theoretical density: 6.69 g cm⁻³
uncorrected formation energy: -568 kJ/mol of formula units


# 5
An optimized crystal structure of PPbAu2, computed with PBE.

a = 5.9530 Å, b = 6.8227 Å, c = 4.0897 Å
α = 90.00°, β = 90.00°, γ = 90.00°
Space group Cmmm (No. 65)
Symmetry-distinct sites (fractional):
P: 0.0000 0.0000 0.0000 [2 per cell]
Pb: 0.0000 0.5000 0.0000 [2 per cell]
Au: 0.2500 0.2500 0.5000 [4 per cell]

Results
DFT formation energy: 1.2 eV per formula unit
offset from the most stable computed form: 0.302 eV per atom
theoretical density: 12.64 g cm⁻³


# 6
An optimized crystal structure of P2PbBr, computed with PBE.

a = 4.3065 Å, b = 4.3065 Å, c = 6.1802 Å
α = 90.00°, β = 90.00°, γ = 90.00°
Space group P4/mmm (No. 123)
Symmetry-distinct sites (fractional):
P: 0.0000 0.0000 0.1657 [2 per cell]
Pb: 0.5000 0.5000 0.0000 [1 per cell]
Br: 0.5000 0.5000 0.5000 [1 per cell]

Results
offset from the most stable computed form: 0.320 eV per atom
theoretical density: 5.06 g cm⁻³
uncorrected formation energy: 73 kJ/mol of formula units


# 7
An optimized crystal structure of Hf3CoPd, computed with PBE.

a = 4.7222 Å, b = 4.7222 Å, c = 4.7222 Å
α = 90.00°, β = 90.00°, γ = 90.00°
Space group Pm-3m (No. 221)
Symmetry-distinct sites (fractional):
Hf: 0.0000 0.0000 0.5000 [3 per cell]
Co: 0.0000 0.0000 0.0000 [1 per cell]
Pd: 0.5000 0.5000 0.5000 [1 per cell]

Results
DFT formation energy: 0.6 eV per formula unit
offset from the most stable computed form: 0.500 eV per atom
theoretical density: 11.05 g cm⁻³


# 8
An optimized crystal structure of Ce2In5Hg, computed with PBE.

a = 6.6310 Å, b = 13.2742 Å, c = 4.7264 Å
α = 90.00°, β = 90.00°, γ = 90.00°
Space group Pbam (No. 55)
Symmetry-distinct sites (fractional):
Ce: 0.2465 0.1262 0.0000 [4 per cell]
In: 0.0000 0.0000 0.5000 [2 per cell]
In: 0.0028 0.7497 0.5000 [4 per cell]
In: 0.2464 0.3761 0.0000 [4 per cell]
Hg: 0.0000 0.5000 0.5000 [2 per cell]

Results
DFT formation energy: -3.0 eV per formula unit
theoretical density: 8.42 g cm⁻³


The energy results, record by record, are as follows: -4.26 -7.67 -6.17 -3.80 -3.61 -3.86 -8.31 -3.61 eV per atom.